Entry from the Open Quantum Materials Database: a relaxed HoCoNO crystal (PBE+U).

Cell lengths 3.707, 6.042, 4.882 Å; angles 90.00, 90.00, 90.00 degrees
Fractional positions:
1 Ho 0.000 0.194 0.000
2 Ho 0.000 0.806 0.500
3 Co 0.500 0.309 0.518
4 Co 0.500 0.691 0.018
5 N 0.000 0.178 0.486
6 N 0.000 0.822 0.986
7 O 0.500 0.367 0.950
8 O 0.500 0.633 0.450

Values from the calculation:
**Space group**: No. 26
**Energy relative to the lowest polymorph listed for this composition**: 0.0 meV per atom
**Total magnetization**: 3.000 μB per formula unit
**Mass density**: 7.71 g/cm³